Compound: BeOs2I
Source: Alexandria
Functional: PBE
Structure: optimized geometry

Lattice parameters (Å, degrees): 4.352 4.409 10.406 93.14 92.17 117.19
Fractional positions:
Be  0.173  0.185  0.088
Be  0.827  0.815  0.912
Os  0.159  0.480  0.895
Os  0.491  0.146  0.898
Os  0.509  0.854  0.102
Os  0.841  0.520  0.105
I  0.302  0.755  0.660
I  0.698  0.245  0.340

Computed properties:
As for the raw formation energy: 25.9 kJ/mol of atoms. The value obtained for the calculated total energy is -6.665 eV per atom. The crystal system is triclinic.